1.
First-principles (PBE) data for TlCd4Hg8 after structural relaxation, as listed in Alexandria.

Computed properties:
Crystal system = cubic
SG = No. 216
Formation energy = 0.085 eV/atom
Total moment = 0.00 Bohr magnetons per cell
E above lowest polymorph = 0.066 eV per atom

Cell and atoms, written as POSCAR:
```
TlCd4Hg8
1.0
0.0000 5.7898 5.7898
5.7898 0.0000 5.7898
5.7898 5.7898 0.0000
Tl Cd Hg
1 4 8
direct
0.0000 0.0000 0.0000 Tl
0.2034 0.5989 0.5989 Cd
0.5989 0.2034 0.5989 Cd
0.5989 0.5989 0.2034 Cd
0.5989 0.5989 0.5989 Cd
0.3446 0.3446 0.3446 Hg
0.3446 0.3446 0.9662 Hg
0.3446 0.9662 0.3446 Hg
0.4390 0.8537 0.8537 Hg
0.8537 0.4390 0.8537 Hg
0.8537 0.8537 0.4390 Hg
0.8537 0.8537 0.8537 Hg
0.9662 0.3446 0.3446 Hg
```

2.
First-principles (PBE) data for TlCdHg2 after structural relaxation, as listed in Alexandria.

Computed properties:
Crystal system = tetragonal
SG = No. 122
Formation energy = 0.034 eV/atom
Total moment = 0.00 Bohr magnetons per cell
E above lowest polymorph = 0.042 eV per atom

Cell and atoms, written as POSCAR:
```
TlCdHg2
1.0
8.4909 0.0000 0.0000
0.0000 8.4909 0.0000
0.0000 0.0000 6.2864
Tl Cd Hg
4 4 8
direct
0.0000 0.0000 0.0000 Tl
0.0000 0.5000 0.2500 Tl
0.5000 0.0000 0.7500 Tl
0.5000 0.5000 0.5000 Tl
0.0000 0.0000 0.5000 Cd
0.0000 0.5000 0.7500 Cd
0.5000 0.0000 0.2500 Cd
0.5000 0.5000 0.0000 Cd
0.2342 0.2500 0.6250 Hg
0.2500 0.7342 0.8750 Hg
0.2500 0.7658 0.3750 Hg
0.2658 0.2500 0.1250 Hg
0.7342 0.7500 0.1250 Hg
0.7500 0.2342 0.3750 Hg
0.7500 0.2658 0.8750 Hg
0.7658 0.7500 0.6250 Hg
```

3.
First-principles (PBE) data for TlCdHg2 after structural relaxation, as listed in Alexandria.

Computed properties:
Crystal system = trigonal
SG = No. 160
Formation energy = 0.018 eV/atom
Total moment = 0.00 Bohr magnetons per cell
E above lowest polymorph = 0.025 eV per atom

Cell and atoms, written as POSCAR:
```
TlCdHg2
1.0
3.4836 0.0000 0.0000
-1.7418 3.0169 0.0000
0.0000 0.0000 31.3555
Tl Cd Hg
3 3 6
direct
0.0000 0.0000 0.0000 Tl
0.3333 0.6667 0.6667 Tl
0.6667 0.3333 0.3333 Tl
0.0000 0.0000 0.2473 Cd
0.3333 0.6667 0.9139 Cd
0.6667 0.3333 0.5806 Cd
0.0000 0.0000 0.5025 Hg
0.0000 0.0000 0.7555 Hg
0.3333 0.6667 0.1692 Hg
0.3333 0.6667 0.4222 Hg
0.6667 0.3333 0.0888 Hg
0.6667 0.3333 0.8359 Hg
```

4.
First-principles (PBE) data for TlCdHg2 after structural relaxation, as listed in Alexandria.

Computed properties:
Crystal system = monoclinic
SG = No. 6
Formation energy = 0.017 eV/atom
Total moment = 0.00 Bohr magnetons per cell
E above lowest polymorph = 0.024 eV per atom

Cell and atoms, written as POSCAR:
```
TlCdHg2
1.0
3.4186 0.0000 0.0000
0.0000 5.2798 0.0000
-1.2856 0.0000 5.9991
Tl Cd Hg
1 1 2
direct
0.0000 0.0000 0.0000 Tl
0.7806 0.5000 0.3613 Cd
0.3616 0.0000 0.5078 Hg
0.4474 0.5000 0.8278 Hg
```

Q: Look up the total moment of the second one.
A: 0.00 Bohr magnetons per cell

Q: What is the formation energy in the fourth record?
A: 0.017 eV/atom